DFT (PBE) results for a relaxed structure of B6RhN6.

Computed properties:
Total magnetization in Bohr magnetons per cell: 0.6
Electronic total energy in eV/cell: -101.147

Cell and atoms, written as CIF:
```
data_B6RhN6
_chemical_formula_sum 'B6 Rh1 N6'
_cell_length_a 4.565
_cell_length_b 4.565
_cell_length_c 4.565
_cell_angle_alpha 90.00
_cell_angle_beta 90.00
_cell_angle_gamma 90.00
_space_group_name_H-M_alt 'P m -3'
_space_group_IT_number 200
_space_group_name_Hall '-P 2 2 3'
loop_
_atom_site_label
_atom_site_type_symbol
_atom_site_fract_x
_atom_site_fract_y
_atom_site_fract_z
B1 B 0.000 0.245 0.500
Rh1 Rh 0.000 0.000 0.000
N1 N 0.000 0.500 0.253
```

DFT (PBE) results for a relaxed structure of B3RhN.

Computed properties:
Total magnetization in Bohr magnetons per cell: 2.9
Electronic total energy in eV/cell: -26.199

Cell and atoms, written as CIF:
```
data_B3RhN
_chemical_formula_sum 'B3 Rh1 N1'
_cell_length_a 4.062
_cell_length_b 4.062
_cell_length_c 4.062
_cell_angle_alpha 90.00
_cell_angle_beta 90.00
_cell_angle_gamma 90.00
_space_group_name_H-M_alt 'P m -3 m'
_space_group_IT_number 221
_space_group_name_Hall '-P 4 2 3'
loop_
_atom_site_label
_atom_site_type_symbol
_atom_site_fract_x
_atom_site_fract_y
_atom_site_fract_z
B1 B 0.000 0.000 0.500
Rh1 Rh 0.000 0.000 0.000
N1 N 0.500 0.500 0.500
```